Density functional theory data (PBE-GGA) for a relaxed structure of Cr2CdPb.

```
Cr2CdPb
1.0
5.551 0.293 -0.034
2.132 5.133 0.034
-3.824 -2.737 2.963
Cd Cr Pb
1 2 1
direct
0.750 0.250 0.500
0.250 0.750 0.500
0.000 0.000 0.000
0.500 0.500 0.000
```

- crystal system = tetragonal
- spin magnetization (μB/f.u.) = 8.04
- DFT formation energy (meV/atom) = 628
- calculated total energy (eV/atom) = -5.34
- space-group type = I-4m2, No. 119